RbPb3Au3 | PBE | optimized geometry Values from VASP.

**Energy relative to the elements**: -45 kJ/mol of formula units
**DOS at the Fermi energy**: 2.723 states/eV/f.u.

```
&SYSTEM
  ibrav = 0, nat = 14, ntyp = 3
/
ATOMIC_SPECIES
Rb 85.47 Rb.upf
Pb 207.20 Pb.upf
Au 196.97 Au.upf
CELL_PARAMETERS angstrom
4.5017 2.5991 6.0807
-4.5017 2.5991 6.0807
0.0000 -5.1981 6.0807
ATOMIC_POSITIONS angstrom
Rb 0.0000 0.0000 3.0268
Rb 0.0000 0.0000 15.2152
Pb -3.0958 0.0045 6.8208
Pb -1.5518 -2.6788 11.4212
Pb 1.5440 -2.6833 6.8208
Pb -1.5440 2.6833 11.4212
Pb 1.5518 2.6788 6.8208
Pb 3.0958 -0.0045 11.4212
Au -1.0216 -1.5701 8.0559
Au -1.8705 0.0997 10.1861
Au -0.8489 1.6698 8.0559
Au 0.8489 -1.6698 10.1861
Au 1.8705 -0.0997 8.0559
Au 1.0217 1.5701 10.1861
```